(1)
# BaTeN2

Crystalline BaTeN2 at its relaxed geometry (GGA-PBE, Alexandria).

```
data_BaTeN2
_chemical_formula_sum 'Ba1 Te1 N2'
_symmetry_space_group_name_H-M 'P 1'
_symmetry_Int_Tables_number 1
_symmetry_space_group_name_Hall 'P 1'
_cell_length_a 7.214
_cell_length_b 7.214
_cell_length_c 7.214
_cell_angle_alpha 33.91
_cell_angle_beta 33.91
_cell_angle_gamma 33.91
loop_
_atom_site_label
_atom_site_type_symbol
_atom_site_fract_x
_atom_site_fract_y
_atom_site_fract_z
_atom_site_occupancy
N1 N 0.097 0.097 0.097 1
N2 N 0.903 0.903 0.903 1
Te1 Te 0.000 0.000 0.000 1
Ba1 Ba 0.500 0.500 0.500 1
```


(2)
# BaTe2N2

Crystalline BaTe2N2 at its relaxed geometry (GGA-PBE, Alexandria).

```
data_BaTe2N2
_chemical_formula_sum 'Ba1 Te2 N2'
_symmetry_space_group_name_H-M 'P 1'
_symmetry_Int_Tables_number 1
_symmetry_space_group_name_Hall 'P 1'
_cell_length_a 4.696
_cell_length_b 4.696
_cell_length_c 7.473
_cell_angle_alpha 90.00
_cell_angle_beta 90.00
_cell_angle_gamma 90.00
loop_
_atom_site_label
_atom_site_type_symbol
_atom_site_fract_x
_atom_site_fract_y
_atom_site_fract_z
_atom_site_occupancy
N1 N 0.000 0.500 0.000 1
N2 N 0.500 0.000 0.000 1
Te1 Te 0.500 0.500 0.500 1
Te2 Te 0.000 0.000 0.500 1
Ba1 Ba 0.000 0.000 0.000 1
```


(3)
# Ba4TeN

Crystalline Ba4TeN at its relaxed geometry (GGA-PBE, Alexandria).

```
data_Ba4TeN
_chemical_formula_sum 'Ba8 Te2 N2'
_symmetry_space_group_name_H-M 'P 1'
_symmetry_Int_Tables_number 1
_symmetry_space_group_name_Hall 'P 1'
_cell_length_a 8.897
_cell_length_b 8.830
_cell_length_c 9.464
_cell_angle_alpha 104.21
_cell_angle_beta 104.51
_cell_angle_gamma 118.05
loop_
_atom_site_label
_atom_site_type_symbol
_atom_site_fract_x
_atom_site_fract_y
_atom_site_fract_z
_atom_site_occupancy
Ba1 Ba 0.677 0.160 0.417 1
Ba2 Ba 0.891 0.212 0.928 1
Ba3 Ba 0.760 0.743 0.583 1
Ba4 Ba 0.240 0.257 0.417 1
Ba5 Ba 0.463 0.283 0.072 1
Ba6 Ba 0.537 0.717 0.928 1
Ba7 Ba 0.109 0.788 0.072 1
Ba8 Ba 0.323 0.840 0.583 1
Te1 Te 0.371 0.621 0.242 1
Te2 Te 0.629 0.379 0.758 1
N1 N 0.380 0.130 0.261 1
N2 N 0.620 0.870 0.739 1
```


(4)
# BaTiTeN2

Crystalline BaTiTeN2 at its relaxed geometry (GGA-PBE, Alexandria).

```
data_BaTiTeN2
_chemical_formula_sum 'Ba1 Ti1 Te1 N2'
_symmetry_space_group_name_H-M 'P 1'
_symmetry_Int_Tables_number 1
_symmetry_space_group_name_Hall 'P 1'
_cell_length_a 4.352
_cell_length_b 4.352
_cell_length_c 6.719
_cell_angle_alpha 90.00
_cell_angle_beta 90.00
_cell_angle_gamma 90.00
loop_
_atom_site_label
_atom_site_type_symbol
_atom_site_fract_x
_atom_site_fract_y
_atom_site_fract_z
_atom_site_occupancy
N1 N 0.500 0.000 0.000 1
N2 N 0.000 0.500 0.000 1
Te1 Te 0.000 0.000 0.500 1
Ti1 Ti 0.500 0.500 0.500 1
Ba1 Ba 0.000 0.000 0.000 1
```


Going through the records in order, we get formation energy without anion corrections values of 0.47, 1.44, -0.74, 1.65 eV/atom.